No. 1
First-principles (GGA-PBE) data for a geometry-optimized TbNd8Sc3 structure, as listed in the Alexandria database.

Cell lengths 6.7808, 10.8418, 11.5322 Å; angles 90.00, 90.00, 90.00 degrees
Space group Immm (No. 71)
Symmetry-distinct sites (fractional):
Tb  0.0000  0.0000  0.0000 [2 per cell]
Nd  0.0000  0.1648  0.2525 [8 per cell]
Nd  0.2229  0.2879  0.0000 [8 per cell]
Sc  0.0000  0.0000  0.5000 [2 per cell]
Sc  0.0000  0.5000  0.2129 [4 per cell]

Summary:
formation enthalpy at 0 K	400	meV per atom
Fermi-level density of states	36.62	states/eV per cell
magnetization	0.000	μB per cell
DFT total energy	-4.75	eV per atom

No. 2
First-principles (GGA-PBE) data for a geometry-optimized Fe4NiRu structure, as listed in the Alexandria database.

Cell lengths 6.5722, 6.5722, 6.5722 Å; angles 90.00, 90.00, 90.00 degrees
Space group F-43m (No. 216)
Symmetry-distinct sites (fractional):
Fe  0.1246  0.1246  0.1246 [16 per cell]
Ni  0.2500  0.2500  0.7500 [4 per cell]
Ru  0.0000  0.0000  0.5000 [4 per cell]

Summary:
formation enthalpy at 0 K	177	meV per atom
Fermi-level density of states	37.42	states/eV per cell
magnetization	32.967	μB per cell
DFT total energy	-7.97	eV per atom

No. 3
First-principles (GGA-PBE) data for a geometry-optimized K2ZrMn structure, as listed in the Alexandria database.

Cell lengths 6.0591, 12.7389, 3.2937 Å; angles 90.00, 90.00, 90.00 degrees
Space group Cmmm (No. 65)
Symmetry-distinct sites (fractional):
K  0.2500  0.2500  0.0000 [4 per cell]
Zr  0.0000  0.0000  0.5000 [2 per cell]
Mn  0.0000  0.5000  0.5000 [2 per cell]

Summary:
formation enthalpy at 0 K	1097	meV per atom
Fermi-level density of states	7.58	states/eV per cell
magnetization	2.692	μB per cell
DFT total energy	-3.88	eV per atom
distance to the lowest polymorph of the same formula	0.532	eV per atom

No. 4
First-principles (GGA-PBE) data for a geometry-optimized AcTl2AgF6 structure, as listed in the Alexandria database.

Cell lengths 6.5896, 6.9500, 11.2269 Å; angles 90.00, 124.48, 90.00 degrees
Space group P2_1/c (No. 14)
Symmetry-distinct sites (fractional):
Ac  0.0000  0.0000  0.0000 [2 per cell]
Tl  0.2622  0.0463  0.7460 [4 per cell]
Ag  0.5000  0.0000  0.5000 [2 per cell]
F  0.1382  0.0368  0.2508 [4 per cell]
F  0.2294  0.7035  0.0545 [4 per cell]
F  0.3574  0.1802  0.0540 [4 per cell]

Summary:
Fermi-level density of states	0.00	states/eV per cell
formation energy (no corrections)	-2512	meV/atom
magnetization	0.186	μB per cell
DFT total energy	-4.80	eV per atom

No. 5
First-principles (GGA-PBE) data for a geometry-optimized Tc2SnTe structure, as listed in the Alexandria database.

Cell lengths 6.5389, 6.5389, 6.5389 Å; angles 90.00, 90.00, 90.00 degrees
Space group Fm-3m (No. 225)
Symmetry-distinct sites (fractional):
Tc  0.2500  0.2500  0.2500 [8 per cell]
Sn  0.0000  0.0000  0.0000 [4 per cell]
Te  0.0000  0.0000  0.5000 [4 per cell]

Summary:
Fermi-level density of states	7.54	states/eV per cell
formation energy (no corrections)	243	meV/atom
magnetization	0.000	μB per cell
DFT total energy	-6.73	eV per atom
distance to the lowest polymorph of the same formula	0.000	eV per atom

No. 6
First-principles (GGA-PBE) data for a geometry-optimized AlSi2Te structure, as listed in the Alexandria database.

Cell lengths 3.6695, 3.6695, 6.4652 Å; angles 90.00, 90.00, 90.00 degrees
Space group P4mm (No. 99)
Symmetry-distinct sites (fractional):
Al  0.0000  0.0000  0.0000 [1 per cell]
Si  0.0000  0.0000  0.3825 [1 per cell]
Si  0.5000  0.5000  0.4241 [1 per cell]
Te  0.5000  0.5000  0.8412 [1 per cell]

Summary:
Fermi-level density of states	1.38	states/eV per cell
formation energy (no corrections)	190	meV/atom
magnetization	0.000	μB per cell
DFT total energy	-4.24	eV per atom
distance to the lowest polymorph of the same formula	0.055	eV per atom

No. 7
First-principles (GGA-PBE) data for a geometry-optimized CoTeRh2 structure, as listed in the Alexandria database.

Cell lengths 3.9092, 3.9092, 3.8924 Å; angles 90.00, 90.00, 90.00 degrees
Space group P4/mmm (No. 123)
Symmetry-distinct sites (fractional):
Co  0.0000  0.0000  0.0000 [1 per cell]
Te  0.5000  0.5000  0.0000 [1 per cell]
Rh  0.0000  0.5000  0.5000 [2 per cell]

Summary:
Fermi-level density of states	3.70	states/eV per cell
formation energy (no corrections)	53	meV/atom
magnetization	0.878	μB per cell
DFT total energy	-6.18	eV per atom

No. 8
First-principles (GGA-PBE) data for a geometry-optimized LaCe2PrTl4 structure, as listed in the Alexandria database.

Cell lengths 5.5655, 5.5655, 27.2516 Å; angles 90.00, 90.00, 120.00 degrees
Space group R-3m (No. 166, hexagonal axes)
Symmetry-distinct sites (fractional):
La  0.0000  0.0000  0.0000 [3 per cell]
Ce  0.0000  0.0000  0.2500 [6 per cell]
Pr  0.0000  0.0000  0.5000 [3 per cell]
Tl  0.0000  0.0000  0.1257 [6 per cell]
Tl  0.0000  0.0000  0.3756 [6 per cell]

Summary:
formation enthalpy at 0 K	-296	meV per atom
Fermi-level density of states	62.78	states/eV per cell
magnetization	6.687	μB per cell
DFT total energy	-4.18	eV per atom

No. 9
First-principles (GGA-PBE) data for a geometry-optimized BaTl2Re structure, as listed in the Alexandria database.

Cell lengths 4.9818, 4.9818, 8.7644 Å; angles 90.00, 90.00, 90.00 degrees
Space group I4/mmm (No. 139)
Symmetry-distinct sites (fractional):
Ba  0.0000  0.0000  0.0000 [2 per cell]
Tl  0.0000  0.5000  0.2500 [4 per cell]
Re  0.0000  0.0000  0.5000 [2 per cell]

Summary:
formation enthalpy at 0 K	826	meV per atom
Fermi-level density of states	8.71	states/eV per cell
magnetization	4.228	μB per cell
DFT total energy	-3.95	eV per atom
distance to the lowest polymorph of the same formula	0.247	eV per atom

No. 10
First-principles (GGA-PBE) data for a geometry-optimized NiHg2Sb structure, as listed in the Alexandria database.

Cell lengths 4.1653, 4.1653, 9.5767 Å; angles 90.00, 90.00, 90.00 degrees
Space group I4/mmm (No. 139)
Symmetry-distinct sites (fractional):
Ni  0.0000  0.0000  0.0000 [2 per cell]
Hg  0.0000  0.5000  0.2500 [4 per cell]
Sb  0.0000  0.0000  0.5000 [2 per cell]

Summary:
Fermi-level density of states	4.32	states/eV per cell
formation energy (no corrections)	353	meV/atom
magnetization	0.000	μB per cell
DFT total energy	-2.27	eV per atom

No. 11
First-principles (GGA-PBE) data for a geometry-optimized MgMnNi2 structure, as listed in the Alexandria database.

Cell lengths 2.7504, 2.7504, 24.6001 Å; angles 90.00, 90.00, 120.00 degrees
Space group R-3m (No. 166, hexagonal axes)
Symmetry-distinct sites (fractional):
Mg  0.0000  0.0000  0.0000 [3 per cell]
Mn  0.0000  0.0000  0.5000 [3 per cell]
Ni  0.0000  0.0000  0.2456 [6 per cell]

Summary:
formation enthalpy at 0 K	99	meV per atom
Fermi-level density of states	9.41	states/eV per cell
magnetization	13.260	μB per cell
DFT total energy	-5.48	eV per atom

No. 12
First-principles (GGA-PBE) data for a geometry-optimized Hf2SeO structure, as listed in the Alexandria database.

Cell lengths 5.3029, 5.3029, 11.3686 Å; angles 90.00, 90.00, 90.00 degrees
Space group I-42d (No. 122)
Symmetry-distinct sites (fractional):
Hf  0.1588  0.2500  0.1250 [8 per cell]
Se  0.0000  0.0000  0.5000 [4 per cell]
O  0.0000  0.0000  0.0000 [4 per cell]

Summary:
Fermi-level density of states	10.68	states/eV per cell
formation energy (no corrections)	-1329	meV/atom
magnetization	0.000	μB per cell
DFT total energy	-8.42	eV per atom
distance to the lowest polymorph of the same formula	0.000	eV per atom

No. 13
First-principles (GGA-PBE) data for a geometry-optimized Mg3In3Ni2Pd structure, as listed in the Alexandria database.

Cell lengths 7.5235, 7.5235, 3.2911 Å; angles 90.00, 90.00, 120.00 degrees
Space group P-62m (No. 189)
Symmetry-distinct sites (fractional):
Mg  0.0000  0.2775  0.0000 [3 per cell]
In  0.0000  0.6130  0.5000 [3 per cell]
Ni  0.3333  0.6667  0.0000 [2 per cell]
Pd  0.0000  0.0000  0.5000 [1 per cell]

Summary:
formation enthalpy at 0 K	-243	meV per atom
Fermi-level density of states	2.51	states/eV per cell
magnetization	0.000	μB per cell
DFT total energy	-3.55	eV per atom

No. 14
First-principles (GGA-PBE) data for a geometry-optimized MgCu3Si2 structure, as listed in the Alexandria database.

Cell lengths 4.0075, 7.1243, 12.0342 Å; angles 90.00, 90.00, 90.00 degrees
Space group Immm (No. 71)
Symmetry-distinct sites (fractional):
Mg  0.0000  0.0000  0.1330 [4 per cell]
Cu  0.0000  0.2013  0.3188 [8 per cell]
Cu  0.0000  0.3303  0.0000 [4 per cell]
Si  0.0000  0.3356  0.5000 [4 per cell]
Si  0.0000  0.5000  0.1847 [4 per cell]

Summary:
Fermi-level density of states	6.54	states/eV per cell
formation energy (no corrections)	-76	meV/atom
magnetization	0.000	μB per cell
DFT total energy	-4.20	eV per atom

No. 15
First-principles (GGA-PBE) data for a geometry-optimized V2TcBi structure, as listed in the Alexandria database.

Cell lengths 3.9325, 3.9325, 18.6078 Å; angles 90.00, 90.00, 90.00 degrees
Space group I-42d (No. 122)
Symmetry-distinct sites (fractional):
V  0.2462  0.2500  0.1250 [8 per cell]
Tc  0.0000  0.0000  0.5000 [4 per cell]
Bi  0.0000  0.0000  0.0000 [4 per cell]

Summary:
formation enthalpy at 0 K	850	meV per atom
Fermi-level density of states	18.65	states/eV per cell
magnetization	0.000	μB per cell
DFT total energy	-7.27	eV per atom

No. 16
First-principles (GGA-PBE) data for a geometry-optimized KSbI2 structure, as listed in the Alexandria database.

Cell lengths 8.3951, 8.3951, 8.3951 Å; angles 90.00, 90.00, 90.00 degrees
Space group Fm-3m (No. 225)
Symmetry-distinct sites (fractional):
K  0.0000  0.0000  0.0000 [4 per cell]
Sb  0.0000  0.0000  0.5000 [4 per cell]
I  0.2500  0.2500  0.2500 [8 per cell]

Summary:
Fermi-level density of states	19.29	states/eV per cell
formation energy (no corrections)	-267	meV/atom
magnetization	5.501	μB per cell
DFT total energy	-2.35	eV per atom
distance to the lowest polymorph of the same formula	0.146	eV per atom

No. 17
First-principles (GGA-PBE) data for a geometry-optimized InBi2Au structure, as listed in the Alexandria database.

Cell lengths 4.8173, 4.8173, 4.6582 Å; angles 90.00, 90.00, 90.00 degrees
Space group P4/mmm (No. 123)
Symmetry-distinct sites (fractional):
In  0.0000  0.0000  0.0000 [1 per cell]
Bi  0.0000  0.5000  0.5000 [2 per cell]
Au  0.5000  0.5000  0.0000 [1 per cell]

Summary:
formation enthalpy at 0 K	101	meV per atom
Fermi-level density of states	2.63	states/eV per cell
magnetization	0.000	μB per cell
DFT total energy	-3.34	eV per atom

No. 18
First-principles (GGA-PBE) data for a geometry-optimized SmMg2Hg structure, as listed in the Alexandria database.

Cell lengths 4.5248, 4.5248, 4.9070 Å; angles 90.00, 90.00, 90.00 degrees
Space group P4/mmm (No. 123)
Symmetry-distinct sites (fractional):
Sm  0.0000  0.0000  0.0000 [1 per cell]
Mg  0.0000  0.5000  0.5000 [2 per cell]
Hg  0.5000  0.5000  0.0000 [1 per cell]

Summary:
formation enthalpy at 0 K	-240	meV per atom
Fermi-level density of states	2.52	states/eV per cell
magnetization	0.000	μB per cell
DFT total energy	-2.29	eV per atom
distance to the lowest polymorph of the same formula	0.046	eV per atom

No. 19
First-principles (GGA-PBE) data for a geometry-optimized Cs6Au2I structure, as listed in the Alexandria database.

Cell lengths 17.9110, 7.1332, 11.9754 Å; angles 90.00, 122.36, 90.00 degrees
Space group C2/m (No. 12)
Symmetry-distinct sites (fractional):
Cs  0.0306  0.0000  0.2083 [4 per cell]
Cs  0.1438  0.5000  0.5598 [4 per cell]
Cs  0.2091  0.5000  0.1021 [4 per cell]
Au  0.1867  0.0000  0.0939 [4 per cell]
I  0.0000  0.0000  0.5000 [2 per cell]

Summary:
Fermi-level density of states	11.32	states/eV per cell
formation energy (no corrections)	-454	meV/atom
magnetization	0.024	μB per cell
DFT total energy	-1.92	eV per atom
distance to the lowest polymorph of the same formula	0.015	eV per atom

No. 20
First-principles (GGA-PBE) data for a geometry-optimized Pm3SbSe6 structure, as listed in the Alexandria database.

Cell lengths 11.3446, 14.2517, 7.2012 Å; angles 90.00, 90.00, 90.00 degrees
Space group Cmc2_1 (No. 36)
Symmetry-distinct sites (fractional):
Pm  0.0000  0.0952  0.0000 [4 per cell]
Pm  0.1834  0.4007  0.8962 [8 per cell]
Sb  0.0000  0.3224  0.3802 [4 per cell]
Se  0.0000  0.2672  0.7528 [4 per cell]
Se  0.0000  0.4919  0.1369 [4 per cell]
Se  0.1649  0.0322  0.7006 [8 per cell]
Se  0.1676  0.2359  0.1842 [8 per cell]

Summary:
formation energy (no corrections)	-1444	meV/atom
magnetization	0.000	μB per cell
DFT total energy	-5.37	eV per atom